Entry 1:
{"formula": "CaTa2P", "functional": "GGA-PBEsol", "state": "optimized geometry", "space_group": "Fm-3m, No. 225", "relative_energy_mev_per_atom": 756, "total_magnetization_mub_per_fu": 0.00, "e_form_ev_per_atom": 0.775, "lattice_angstrom": [[4.554, 0.000, 0.000], [2.277, 3.944, 0.000], [2.277, 1.315, 3.718]], "species": ["Ca", "Ta", "Ta", "P"], "frac_coords": [[0.000, 0.000, 0.000], [0.250, 0.250, 0.250], [0.750, 0.750, 0.750], [0.500, 0.500, 0.500]]}

Entry 2:
{"formula": "ScTc2Hg", "functional": "GGA-PBEsol", "state": "optimized geometry", "space_group": "P4/mmm, No. 123", "total_magnetization_mub_per_fu": 0.00, "e_form_ev_per_atom": 0.126, "lattice_angstrom": [[3.904, 0.000, 0.000], [0.000, 3.904, 0.000], [0.000, 0.000, 4.259]], "species": ["Hg", "Tc", "Tc", "Sc"], "frac_coords": [[0.500, 0.500, 0.500], [0.500, 0.000, 0.000], [0.000, 0.500, 0.000], [0.000, 0.000, 0.500]]}

Entry 3:
{"formula": "CaIn2Ir2", "functional": "GGA-PBEsol", "state": "optimized geometry", "space_group": "P4/mbm, No. 127", "total_magnetization_mub_per_fu": 0.00, "e_form_ev_per_atom": -0.282, "lattice_angstrom": [[-2.455, 0.023, -1.876], [3.973, -4.170, -5.249], [-2.570, -6.582, 3.284]], "species": ["Ir", "Ir", "Ir", "Ir", "Ca", "Ca", "In", "In", "In", "In"], "frac_coords": [[0.000, 0.857, 0.643], [0.000, 0.143, 0.357], [0.000, 0.643, 0.143], [0.000, 0.357, 0.857], [0.000, 0.500, 0.500], [0.000, 0.000, 0.000], [0.500, 0.847, 0.347], [0.500, 0.653, 0.847], [0.500, 0.347, 0.153], [0.500, 0.153, 0.653]]}

Entry 4:
{"formula": "LiTa2Br", "functional": "GGA-PBEsol", "state": "optimized geometry", "space_group": "Cmm2, No. 35", "relative_energy_mev_per_atom": 0, "raw_formation_energy_mev_per_atom": 81, "total_magnetization_mub_per_fu": 0.00, "lattice_angstrom": [[3.053, 0.005, 0.000], [-1.120, 2.840, 0.000], [0.000, 0.000, 8.529]], "species": ["Ta", "Ta", "Br", "Li"], "frac_coords": [[0.000, 0.000, 0.988], [0.500, 0.500, 0.752], [0.000, 0.000, 0.489], [0.500, 0.500, 0.270]]}

Entry 5:
{"formula": "TaMo3", "functional": "GGA-PBEsol", "state": "optimized geometry", "space_group": "P-1, No. 2", "total_magnetization_mub_per_fu": 0.00, "e_form_ev_per_atom": -0.107, "lattice_angstrom": [[5.244, -0.002, -0.004], [-0.461, 5.222, 0.004], [-2.406, -0.706, 4.613]], "species": ["Mo", "Mo", "Mo", "Mo", "Mo", "Mo", "Ta", "Ta"], "frac_coords": [[0.685, 0.373, 0.939], [0.812, 0.622, 0.566], [0.441, 0.874, 0.687], [0.188, 0.378, 0.434], [0.315, 0.627, 0.061], [0.559, 0.126, 0.313], [0.064, 0.126, 0.808], [0.936, 0.874, 0.192]]}

Entry 6:
{"formula": "ScIr2Ru", "functional": "GGA-PBEsol", "state": "optimized geometry", "space_group": "Pmm2, No. 25", "relative_energy_mev_per_atom": 43, "total_magnetization_mub_per_fu": 0.00, "e_form_ev_per_atom": -0.377, "lattice_angstrom": [[-0.561, -1.161, 2.480], [4.341, -0.615, 0.694], [0.275, 4.265, 2.060]], "species": ["Sc", "Ir", "Ir", "Ru"], "frac_coords": [[0.500, 0.500, 0.190], [0.000, 0.500, 0.693], [0.000, 0.000, 0.056], [0.500, 0.000, 0.562]]}

Entry 7:
{"formula": "TiSbMo2I", "functional": "GGA-PBEsol", "state": "optimized geometry", "space_group": "P4/mmm, No. 123", "raw_formation_energy_mev_per_atom": 1435, "total_magnetization_mub_per_fu": 2.22, "lattice_angstrom": [[-3.642, 0.242, 3.068], [-1.634, -4.180, -1.610], [2.724, -2.383, 3.421]], "species": ["Ti", "Mo", "Mo", "I", "Sb"], "frac_coords": [[0.000, 0.000, 0.000], [0.000, 0.500, 0.000], [0.500, 0.000, 0.000], [0.500, 0.500, 0.500], [0.000, 0.000, 0.500]]}

Entry 8:
{"formula": "TaMnCo6", "functional": "GGA-PBEsol", "state": "optimized geometry", "space_group": "Cmmm, No. 65", "total_magnetization_mub_per_fu": 0.34, "e_form_ev_per_atom": -0.083, "lattice_angstrom": [[-5.270, 1.556, -2.635], [2.595, -4.538, -3.132], [-4.794, -6.650, 5.662]], "species": ["Co", "Co", "Co", "Co", "Co", "Co", "Co", "Co", "Co", "Co", "Co", "Co", "Co", "Co", "Co", "Co", "Co", "Co", "Co", "Co", "Co", "Co", "Co", "Co", "Mn", "Mn", "Mn", "Mn", "Ta", "Ta", "Ta", "Ta"], "frac_coords": [[0.116, 0.371, 0.621], [0.116, 0.371, 0.379], [0.500, 0.500, 0.000], [0.755, 0.245, 0.259], [0.371, 0.116, 0.379], [0.371, 0.116, 0.621], [0.500, 0.500, 0.500], [0.000, 0.000, 0.000], [0.245, 0.755, 0.741], [0.364, 0.118, 0.870], [0.629, 0.884, 0.379], [0.755, 0.245, 0.741], [0.884, 0.629, 0.621], [0.636, 0.882, 0.130], [0.636, 0.882, 0.870], [0.245, 0.755, 0.259], [0.629, 0.884, 0.621], [0.118, 0.364, 0.870], [0.118, 0.364, 0.130], [0.882, 0.636, 0.870], [0.882, 0.636, 0.130], [0.364, 0.118, 0.130], [0.000, 0.000, 0.500], [0.884, 0.629, 0.379], [0.744, 0.256, 0.500], [0.000, 0.000, 0.746], [0.256, 0.744, 0.500], [0.000, 0.000, 0.254], [0.500, 0.500, 0.250], [0.745, 0.255, 0.000], [0.255, 0.745, 0.000], [0.500, 0.500, 0.750]]}

Entry 9:
{"formula": "RbS", "functional": "GGA-PBEsol", "state": "optimized geometry", "space_group": "Pm-3m, No. 221", "raw_formation_energy_mev_per_atom": -433, "total_magnetization_mub_per_fu": 1.01, "lattice_angstrom": [[3.897, 0.000, 0.000], [0.000, 3.897, 0.000], [0.000, 0.000, 3.897]], "species": ["Rb", "S"], "frac_coords": [[0.000, 0.000, 0.000], [0.500, 0.500, 0.500]]}

Entry 10:
{"formula": "Na5Ni2P2C2O14", "functional": "GGA-PBEsol", "state": "optimized geometry", "space_group": "Pm, No. 6", "relative_energy_mev_per_atom": 3, "raw_formation_energy_mev_per_atom": -1746, "total_magnetization_mub_per_fu": 2.96, "lattice_angstrom": [[-2.192, 1.324, -4.398], [-5.425, -2.948, 1.816], [-2.763, 7.455, 3.847]], "species": ["Na", "Na", "Na", "Na", "Na", "O", "O", "O", "O", "O", "O", "O", "O", "O", "O", "O", "O", "O", "O", "P", "P", "Ni", "Ni", "C", "C"], "frac_coords": [[0.759, 0.737, 0.259], [0.244, 0.755, 0.740], [0.244, 0.245, 0.740], [0.770, 0.000, 0.924], [0.759, 0.263, 0.259], [0.224, 0.693, 0.325], [0.403, 0.000, 0.550], [0.711, 0.500, 0.066], [0.780, 0.189, 0.683], [0.224, 0.307, 0.325], [0.517, 0.500, 0.833], [0.780, 0.811, 0.683], [0.284, 0.000, 0.925], [0.057, 0.000, 0.140], [0.491, 0.000, 0.153], [0.144, 0.500, 0.573], [0.849, 0.000, 0.429], [0.596, 0.500, 0.459], [0.943, 0.500, 0.852], [0.706, 0.000, 0.580], [0.292, 0.500, 0.422], [0.776, 0.500, 0.654], [0.224, 0.000, 0.350], [0.279, 0.000, 0.070], [0.720, 0.500, 0.925]]}

Entry 11:
{"formula": "Hg2IrBr", "functional": "GGA-PBEsol", "state": "optimized geometry", "space_group": "I-4m2, No. 119", "relative_energy_mev_per_atom": 203, "raw_formation_energy_mev_per_atom": 687, "total_magnetization_mub_per_fu": 0.00, "lattice_angstrom": [[4.210, 0.000, 0.000], [0.000, 4.210, 0.000], [-2.105, -2.105, 4.333]], "species": ["Hg", "Hg", "Ir", "Br"], "frac_coords": [[0.750, 0.250, 0.500], [0.000, 0.000, 0.000], [0.500, 0.500, 0.000], [0.250, 0.750, 0.500]]}

Entry 12:
{"formula": "LiTlGe2I", "functional": "GGA-PBEsol", "state": "optimized geometry", "space_group": "P4/mmm, No. 123", "raw_formation_energy_mev_per_atom": 304, "total_magnetization_mub_per_fu": 0.00, "lattice_angstrom": [[-0.762, 2.417, 4.039], [-4.528, -1.496, 0.041], [1.505, -4.475, 2.961]], "species": ["Tl", "I", "Ge", "Ge", "Li"], "frac_coords": [[0.500, 0.500, 0.500], [0.000, 0.000, 0.500], [0.500, 0.000, 0.000], [0.000, 0.500, 0.000], [0.000, 0.000, 0.000]]}

Entry 13:
{"formula": "ReAu2Se", "functional": "GGA-PBEsol", "state": "optimized geometry", "space_group": "Cmmm, No. 65", "raw_formation_energy_mev_per_atom": 636, "total_magnetization_mub_per_fu": 0.00, "lattice_angstrom": [[2.683, 0.000, 0.000], [0.000, 5.245, 0.045], [0.000, -2.333, 4.697]], "species": ["Au", "Au", "Se", "Re"], "frac_coords": [[0.000, 0.000, 0.500], [0.000, 0.500, 0.000], [0.500, 0.500, 0.500], [0.500, 0.000, 0.000]]}

Entry 14:
{"formula": "LiZn2As", "functional": "GGA-PBEsol", "state": "optimized geometry", "space_group": "I4/mmm, No. 139", "total_magnetization_mub_per_fu": 0.00, "e_form_ev_per_atom": -0.186, "lattice_angstrom": [[3.850, 0.000, 0.000], [0.000, 3.850, 0.000], [-1.925, -1.925, 4.070]], "species": ["Zn", "Zn", "Li", "As"], "frac_coords": [[0.250, 0.750, 0.500], [0.750, 0.250, 0.500], [0.000, 0.000, 0.000], [0.500, 0.500, 0.000]]}

Entry 15:
{"formula": "Ta2TcW", "functional": "GGA-PBEsol", "state": "optimized geometry", "space_group": "Fm-3m, No. 225", "relative_energy_mev_per_atom": 14, "total_magnetization_mub_per_fu": 0.00, "e_form_ev_per_atom": -0.272, "lattice_angstrom": [[-0.750, 3.152, -3.120], [-3.689, 2.562, 0.233], [0.350, 4.354, 1.072]], "species": ["Ta", "Ta", "W", "Tc"], "frac_coords": [[0.250, 0.250, 0.250], [0.750, 0.750, 0.750], [0.500, 0.500, 0.500], [0.000, 0.000, 0.000]]}

Entry 16:
{"formula": "MnNiAg", "functional": "GGA-PBEsol", "state": "optimized geometry", "space_group": "P3m1, No. 156", "relative_energy_mev_per_atom": 101, "total_magnetization_mub_per_fu": 4.11, "e_form_ev_per_atom": 0.312, "lattice_angstrom": [[2.675, 0.000, 0.000], [0.000, 4.178, 0.000], [0.000, -2.089, 3.618]], "species": ["Mn", "Ni", "Ag"], "frac_coords": [[0.604, 0.333, 0.667], [0.392, 0.667, 0.333], [0.004, 0.000, 0.000]]}

Entry 17:
{"formula": "Ta2CuTe", "functional": "GGA-PBEsol", "state": "optimized geometry", "space_group": "Imm2, No. 44", "raw_formation_energy_mev_per_atom": 253, "total_magnetization_mub_per_fu": 0.00, "lattice_angstrom": [[3.416, 0.000, 0.000], [0.000, 4.561, 0.000], [-1.708, -2.280, 4.379]], "species": ["Ta", "Ta", "Cu", "Te"], "frac_coords": [[0.750, 0.250, 0.499], [0.993, 0.993, 0.985], [0.247, 0.747, 0.493], [0.511, 0.511, 0.022]]}

Entry 18:
{"formula": "Mg2CrPb", "functional": "GGA-PBEsol", "state": "optimized geometry", "space_group": "P4/mmm, No. 123", "total_magnetization_mub_per_fu": 4.10, "e_form_ev_per_atom": 0.330, "lattice_angstrom": [[-2.381, 1.216, -2.342], [-0.856, -3.340, -0.865], [-4.739, -0.029, 4.802]], "species": ["Pb", "Mg", "Mg", "Cr"], "frac_coords": [[0.500, 0.500, 0.000], [0.000, 0.000, 0.278], [0.000, 0.000, 0.722], [0.500, 0.500, 0.500]]}

Entry 19:
{"formula": "ZnCo3Ru", "functional": "GGA-PBEsol", "state": "optimized geometry", "space_group": "Pm-3m, No. 221", "total_magnetization_mub_per_fu": 2.09, "e_form_ev_per_atom": 1.554, "lattice_angstrom": [[-4.204, 0.790, -0.532], [-0.740, -4.225, -0.424], [-0.599, -0.322, 4.256]], "species": ["Co", "Co", "Co", "Ru", "Zn"], "frac_coords": [[0.000, 0.500, 0.000], [0.500, 0.000, 0.000], [0.000, 0.000, 0.500], [0.000, 0.000, 0.000], [0.500, 0.500, 0.500]]}

Entry 20:
{"formula": "LaAg3S", "functional": "GGA-PBEsol", "state": "optimized geometry", "space_group": "Pm-3m, No. 221", "raw_formation_energy_mev_per_atom": 1407, "total_magnetization_mub_per_fu": 0.00, "lattice_angstrom": [[-0.873, -4.371, 3.133], [-0.908, -3.008, -4.451], [5.301, -1.235, -0.247]], "species": ["Ag", "Ag", "Ag", "La", "S"], "frac_coords": [[0.000, 0.000, 0.500], [0.000, 0.500, 0.000], [0.500, 0.000, 0.000], [0.000, 0.000, 0.000], [0.500, 0.500, 0.500]]}

Number 1: density of states at the Fermi level 6.20 states/eV/f.u.. Number 2: density of states at the Fermi level 4.00 states/eV/f.u.. Number 3: density of states at the Fermi level 1.33 states/eV/f.u.. Number 4: density of states at the Fermi level 2.31 states/eV/f.u.. Number 5: density of states at the Fermi level 1.84 states/eV/f.u.. Number 6: density of states at the Fermi level 3.14 states/eV/f.u.. Number 7: density of states at the Fermi level 5.99 states/eV/f.u.. Number 8: density of states at the Fermi level 10.53 states/eV/f.u.. Number 9: density of states at the Fermi level 1.21 states/eV/f.u.. Number 10: density of states at the Fermi level 3.57 states/eV/f.u.. Number 11: density of states at the Fermi level 1.50 states/eV/f.u.. Number 12: density of states at the Fermi level 2.93 states/eV/f.u.. Number 13: density of states at the Fermi level 3.27 states/eV/f.u.. Number 14: density of states at the Fermi level 0.96 states/eV/f.u.. Number 15: density of states at the Fermi level 2.08 states/eV/f.u.. Number 16: density of states at the Fermi level 1.76 states/eV/f.u.. Number 17: density of states at the Fermi level 4.07 states/eV/f.u.. Number 18: density of states at the Fermi level 2.28 states/eV/f.u.. Number 19: density of states at the Fermi level 9.08 states/eV/f.u.. Number 20: density of states at the Fermi level 5.13 states/eV/f.u..